# 1
{
  "formula": "Ca2InSb",
  "functional": "PBE",
  "state": "relaxed",
  "total_magnetization_mub_per_cell": 0.000,
  "raw_formation_energy_ev_per_atom": -0.4743,
  "lattice": [[9.8514, -0.0079, -0.0047], [9.0903, 3.7970, -0.0047], [9.0903, 1.8184, 3.3332]],
  "species": ["Ca", "Ca", "In", "Sb"],
  "frac_coords": [[0.4962, 0.4962, 0.4962], [0.0038, 0.0038, 0.0038], [0.2500, 0.2500, 0.2500], [0.7500, 0.7500, 0.7500]]
}

---

# 2
{
  "formula": "Sr2CaIn2Sb4",
  "functional": "PBE",
  "state": "relaxed",
  "total_magnetization_mub_per_cell": 0.000,
  "raw_formation_energy_ev_per_atom": -0.6571,
  "lattice": [[4.6931, 0.0000, 0.0000], [0.0000, 7.8364, 0.2692], [-2.3466, -2.8194, 7.9222]],
  "species": ["Sr", "Sr", "In", "In", "Sb", "Sb", "Sb", "Sb", "Ca"],
  "frac_coords": [[0.8733, 0.4344, 0.7465], [0.1267, 0.5656, 0.2535], [0.6653, 0.9996, 0.3307], [0.3347, 0.0004, 0.6693], [0.2150, 0.2281, 0.4301], [0.4907, 0.2835, 0.9814], [0.5093, 0.7165, 0.0186], [0.7850, 0.7719, 0.5699], [0.0000, 0.0000, 0.0000]]
}

---

# 3
{
  "formula": "CaTaInSb2",
  "functional": "PBE",
  "state": "relaxed",
  "total_magnetization_mub_per_cell": 0.000,
  "raw_formation_energy_ev_per_atom": 0.0641,
  "lattice": [[5.3919, 0.0000, 0.0000], [0.0000, 5.4022, 0.0000], [0.0000, 0.0000, 5.3919]],
  "species": ["Ca", "Ta", "Sb", "Sb", "In"],
  "frac_coords": [[0.5000, 0.5000, 0.5000], [0.0000, 0.0000, 0.0000], [0.0000, 0.0000, 0.5000], [0.5000, 0.0000, 0.0000], [0.0000, 0.5000, 0.0000]]
}